Below is a geometry-optimized Na2VIrO6 structure, with properties calculated at the PBE+U level.

Cell and atoms, written as POSCAR:
```
Na2VIrO6
1.0
3.878 0.000 0.000
0.000 5.406 0.000
0.000 0.000 5.406
Na V Ir O
2 1 1 6
direct
0.123 0.500 0.000
0.123 0.000 0.500
0.605 0.000 0.000
0.652 0.500 0.500
0.658 0.244 0.244
0.658 0.244 0.756
0.153 0.500 0.500
0.159 0.000 0.000
0.658 0.756 0.756
0.658 0.756 0.244
```

Results
* total DFT energy (no corrections): -62.6 eV per cell
* D(E_F): 0.48 states/eV per atom
* space group: No. 99
* total magnetization: 0.41 μB per formula unit